Here is a geometry-optimized Na2W4O13 structure from Alexandria. Energies are from PBEsol.

Cell: 16.6474 3.7900 8.4003 Å, 90.00 95.97 90.00°
Space group C2/m (No. 12)
Unique sites:
Na  0.2126  0.0000  0.1923
W  0.0867  0.5000  0.8682
W  0.0971  0.5000  0.4765
O  0.0000  0.5000  0.0000
O  0.0013  0.5000  0.6550
O  0.0767  0.0000  0.8548
O  0.0927  0.0000  0.4945
O  0.1532  0.5000  0.6914
O  0.1716  0.5000  0.0117
O  0.1729  0.5000  0.3468

Values from the calculation:
ΔE_f (raw) = -2136 meV per atom

=====

Here is a geometry-optimized Na4W9O27 structure from Alexandria. Energies are from PBEsol.

Cell: 18.0007 5.4268 11.5173 Å, 90.00 115.24 90.00°
Space group C2/m (No. 12)
Unique sites:
Na  0.0000  0.0000  0.1680
Na  0.1670  0.5000  0.6113
W  0.0000  0.5000  0.0000
W  0.0009  0.5000  0.6672
W  0.1664  0.0000  0.4443
W  0.1675  0.0000  0.1106
W  0.1683  0.0000  0.7800
O  0.9998  0.5000  0.1667
O  0.0000  0.5000  0.5000
O  0.0817  0.2455  0.0545
O  0.0831  0.2500  0.3887
O  0.0836  0.2501  0.7224
O  0.1653  0.0000  0.9435
O  0.1667  0.0000  0.2779
O  0.1669  0.0000  0.6111
O  0.2505  0.2478  0.1684
O  0.2500  0.2500  0.5000

Values from the calculation:
ΔE_f (raw) = -2176 meV per atom
D(E_F) = 0.15 states/eV per atom

=====

Here is a geometry-optimized Na2ZrW3O12 structure from Alexandria. Energies are from PBEsol.

Cell: 5.0274 5.0274 37.4830 Å, 90.00 90.00 90.00°
Space group I4_1 (No. 80)
Unique sites:
Na  0.0000  0.0000  0.0000
Na  0.0000  0.0000  0.1902
Zr  0.0000  0.0000  0.8366
W  0.0000  0.0000  0.3619
W  0.0000  0.0000  0.5184
W  0.0000  0.0000  0.6689
O  0.1317  0.2620  0.9479
O  0.1342  0.7513  0.4911
O  0.1495  0.2259  0.7937
O  0.1725  0.7688  0.3319
O  0.1813  0.6923  0.6524
O  0.1992  0.2624  0.8694

Values from the calculation:
ΔE_f (raw) = -2323 meV per atom
D(E_F) = 0.00 states/eV per atom

=====

Here is a geometry-optimized NaYO2 structure from Alexandria. Energies are from PBEsol.

Cell: 5.1985 5.1985 10.2561 Å, 90.00 90.00 90.00°
Space group I-42d (No. 122)
Unique sites:
Na  0.0000  0.0000  0.0000
Y  0.0000  0.0000  0.5000
O  0.2123  0.2500  0.6250

Values from the calculation:
ΔE_f (raw) = -2618 meV per atom
D(E_F) = 0.00 states/eV per atom

=====

Here is a geometry-optimized NaYO3 structure from Alexandria. Energies are from PBEsol.

Cell: 3.9118 3.9118 3.9118 Å, 90.00 90.00 90.00°
Space group Pm-3m (No. 221)
Unique sites:
Na  0.0000  0.0000  0.0000
Y  0.5000  0.5000  0.5000
O  0.0000  0.0000  0.5000

Values from the calculation:
ΔE_f (raw) = -1156 meV per atom
D(E_F) = 0.41 states/eV per atom

=====

Here is a geometry-optimized NaZr3O structure from Alexandria. Energies are from PBEsol.

Cell: 4.4996 4.4996 4.4996 Å, 90.00 90.00 90.00°
Space group Pm-3m (No. 221)
Unique sites:
Na  0.0000  0.0000  0.0000
Zr  0.0000  0.5000  0.5000
O  0.5000  0.5000  0.5000

Values from the calculation:
ΔE_f (raw) = -716 meV per atom
D(E_F) = 0.55 states/eV per atom

=====

Here is a geometry-optimized NaZrO2 structure from Alexandria. Energies are from PBEsol.

Cell: 5.0977 5.0977 10.6021 Å, 90.00 90.00 90.00°
Space group I-42d (No. 122)
Unique sites:
Na  0.0000  0.0000  0.0000
Zr  0.0000  0.0000  0.5000
O  0.1594  0.2500  0.6250

Values from the calculation:
ΔE_f (raw) = -2290 meV per atom
D(E_F) = 0.31 states/eV per atom

=====

Here is a geometry-optimized Na3OsPb structure from Alexandria. Energies are from PBEsol.

Cell: 5.6828 5.6828 5.6828 Å, 90.00 90.00 90.00°
Space group Pm-3m (No. 221)
Unique sites:
Na  0.0000  0.0000  0.5000
Os  0.5000  0.5000  0.5000
Pb  0.0000  0.0000  0.0000

Values from the calculation:
ΔH_f (0 K) = 8.399 eV per formula unit
D(E_F) = 1.82 states/eV per atom